No. 1
# KPmSeO6

An optimized crystal structure of KPmSeO6 (PBE, Alexandria).

Cell: 5.7114 5.7114 5.6995 Å, 90.00 90.00 120.00°
Space group P312 (No. 149)
Inequivalent atoms, fractional coordinates:
K (0.0000, 0.0000, 0.0000) (multiplicity 1)
Pm (0.3333, 0.6667, 0.5000) (multiplicity 1)
Se (0.6667, 0.3333, 0.5000) (multiplicity 1)
O (0.4104, 0.0712, 0.6813) (multiplicity 6)

Computed properties:
- electronic total energy (eV/atom) = -5.64
- D(E_F) (states/eV/f.u.) = 4.82
- formation energy (no corrections) (eV/atom) = -1.30
- total magnetization (μB/cell) = 2.008

No. 2
# KPmSe2O8

An optimized crystal structure of KPmSe2O8 (PBE, Alexandria).

Cell: 5.6839 5.6839 8.1785 Å, 90.00 90.00 120.00°
Space group P-3 (No. 147)
Inequivalent atoms, fractional coordinates:
K (0.0000, 0.0000, 0.0000) (multiplicity 1)
Pm (0.0000, 0.0000, 0.5000) (multiplicity 1)
Se (0.3333, 0.6667, 0.7546) (multiplicity 2)
O (0.1145, 0.3562, 0.6814) (multiplicity 6)
O (0.3333, 0.6667, 0.9550) (multiplicity 2)

Computed properties:
- electronic total energy (eV/atom) = -5.89
- D(E_F) (states/eV/f.u.) = 0.00
- formation energy (no corrections) (eV/atom) = -1.52
- total magnetization (μB/cell) = 0.000

Copy entry 2 word for word.
# KPmSe2O8

An optimized crystal structure of KPmSe2O8 (PBE, Alexandria).

Cell: 5.6839 5.6839 8.1785 Å, 90.00 90.00 120.00°
Space group P-3 (No. 147)
Inequivalent atoms, fractional coordinates:
K (0.0000, 0.0000, 0.0000) (multiplicity 1)
Pm (0.0000, 0.0000, 0.5000) (multiplicity 1)
Se (0.3333, 0.6667, 0.7546) (multiplicity 2)
O (0.1145, 0.3562, 0.6814) (multiplicity 6)
O (0.3333, 0.6667, 0.9550) (multiplicity 2)

Computed properties:
- electronic total energy (eV/atom) = -5.89
- D(E_F) (states/eV/f.u.) = 0.00
- formation energy (no corrections) (eV/atom) = -1.52
- total magnetization (μB/cell) = 0.000

- Look up the formation energy (no corrections) of the second one.
  -1.52 eV/atom

- Among the records above, which one has the lowest formation energy (no corrections)?
  KPmSe2O8